VASP calculation (PBE+U) on a relaxed BaAcFeO4 crystal.

Properties
volume	107.7	Å³ per cell
density	7.47	Mg/m³
total magnetization	5.00	μB/f.u.
E	-7.008	eV/atom
space group	I4mm

POSCAR file:
```
BaAcFeO4
1.0
-2.502 1.090 -2.966
-2.796 -2.525 1.431
0.230 5.562 4.588
Ba Ac Fe O
1 1 1 4
Cartesian
-3.346 0.677 0.333
-1.750 3.505 2.764
-0.024 0.047 0.037
-3.630 5.307 2.273
-3.777 3.499 4.471
-4.295 2.578 1.832
-0.804 1.609 1.269
```